[1]
The following is a DFT calculation (PBE) of a geometry-optimized Tb2Al3Ni2 structure.

Output
- E: -5.167 eV per atom

CIF file:
```
data_Tb2Al3Ni2
_symmetry_space_group_name_H-M 'C 1 2/m 1'
_symmetry_Int_Tables_number 12
_cell_length_a 10.2201
_cell_length_b 4.0716
_cell_length_c 6.9092
_cell_angle_alpha 90.00
_cell_angle_beta 117.49
_cell_angle_gamma 90.00
loop_
_symmetry_equiv_pos_as_xyz
'x,y,z'
'-x,-y,-z'
'-x,y,-z'
'x,-y,z'
'x+1/2,y+1/2,z'
'-x+1/2,-y+1/2,-z'
'-x+1/2,y+1/2,-z'
'x+1/2,-y+1/2,z'
loop_
_atom_site_label
_atom_site_type_symbol
_atom_site_fract_x
_atom_site_fract_y
_atom_site_fract_z
_atom_site_occupancy
Tb1 Tb 0.1407 0.0000 0.2791 1
Al1 Al 0.0000 0.5000 0.5000 1
Al2 Al 0.1432 0.5000 0.9387 1
Ni1 Ni 0.1331 0.0000 0.7085 1
```

***

[2]
The following is a DFT calculation (PBE) of a geometry-optimized La3Ag4Ge4 structure.

Output
- E: -4.633 eV per atom

CIF file:
```
data_La3Ag4Ge4
_symmetry_space_group_name_H-M 'I m m m'
_symmetry_Int_Tables_number 71
_symmetry_space_group_name_Hall '-I 2 2'
_cell_length_a 4.5355
_cell_length_b 7.2465
_cell_length_c 15.0763
_cell_angle_alpha 90.00
_cell_angle_beta 90.00
_cell_angle_gamma 90.00
loop_
_atom_site_label
_atom_site_type_symbol
_atom_site_fract_x
_atom_site_fract_y
_atom_site_fract_z
_atom_site_occupancy
La1 La 0.0000 0.0000 0.0000 1
La2 La 0.0000 0.5000 0.1290 1
Ag1 Ag 0.0000 0.3071 0.3330 1
Ge1 Ge 0.0000 0.0000 0.2174 1
Ge2 Ge 0.0000 0.1799 0.5000 1
```

***

What are the formation enthalpy at 0 K values for these records? In order: -0.59; -0.57 eV per atom.